[1]
Crystalline TeHS2I at its relaxed geometry. Source: Alexandria via LeMat-Bulk, functional PBE.

**Fermi-level density of states**: 0.049 states/eV per atom
**Size of the total moment**: 0.00 μB/cell
**Symmetry**: P2_1/m (11)
**Total energy**: -3.224 eV per atom

Geometry as POSCAR:
```
TeHS2I
1.0
7.910 0.000 0.000
0.000 4.035 0.000
-3.205 0.000 9.517
Te H S I
2 2 4 2
Direct
0.206 0.250 0.443
0.794 0.750 0.557
0.423 0.750 0.112
0.577 0.250 0.888
0.222 0.750 0.601
0.452 0.250 0.959
0.548 0.750 0.041
0.778 0.250 0.399
0.154 0.750 0.192
0.846 0.250 0.808
```

[2]
Crystalline Te2HSI at its relaxed geometry. Source: Alexandria via LeMat-Bulk, functional PBE.

**Fermi-level density of states**: 0.916 states/eV per atom
**Size of the total moment**: 0.75 μB/cell
**ΔE to the lowest computed polymorph**: 0.3208 eV per atom
**Symmetry**: P4/mmm (123)

Geometry as POSCAR:
```
Te2HSI
1.0
5.333 0.000 0.000
0.000 5.333 0.000
0.000 0.000 5.658
Te H S I
2 1 1 1
Direct
0.000 0.500 0.000
0.500 0.000 0.000
0.000 0.000 0.500
0.500 0.500 0.000
0.500 0.500 0.500
```

[3]
Crystalline Te2HSI at its relaxed geometry. Source: Alexandria via LeMat-Bulk, functional PBE.

**Fermi-level density of states**: 0.745 states/eV per atom
**Size of the total moment**: 0.00 μB/cell
**ΔE to the lowest computed polymorph**: 0.0000 eV per atom
**Symmetry**: P4/mmm (123)

Geometry as POSCAR:
```
Te2HSI
1.0
4.253 0.000 0.000
0.000 4.253 0.000
0.000 0.000 8.176
Te H S I
2 1 1 1
Direct
0.000 0.500 0.000
0.500 0.000 0.000
0.000 0.000 0.000
0.500 0.500 0.500
0.000 0.000 0.500
```

[4]
Crystalline TiHS2I at its relaxed geometry. Source: Alexandria via LeMat-Bulk, functional PBE.

**Fermi-level density of states**: 0.880 states/eV per atom
**Size of the total moment**: 0.00 μB/cell
**Symmetry**: P4/mmm (123)
**Total energy**: -3.827 eV per atom

Geometry as POSCAR:
```
TiHS2I
1.0
4.915 0.000 0.000
0.000 4.915 0.000
0.000 0.000 3.426
Ti H S I
1 1 2 1
Direct
0.000 0.000 0.000
0.000 0.000 0.500
0.000 0.500 0.500
0.500 0.000 0.500
0.500 0.500 0.000
```

[5]
Crystalline Tl3H4S2I3 at its relaxed geometry. Source: Alexandria via LeMat-Bulk, functional PBE.

**Size of the total moment**: 0.00 μB/cell
**Symmetry**: Imm2 (44)
**Total energy**: -3.098 eV per atom

Geometry as POSCAR:
```
Tl3H4S2I3
1.0
-3.266 11.715 2.731
3.266 -11.715 2.731
3.266 11.715 -2.731
Tl H S I
3 4 2 3
Direct
0.000 0.000 0.000
0.148 0.771 0.377
0.394 0.771 0.623
0.049 0.247 0.803
0.376 0.517 0.859
0.444 0.247 0.197
0.658 0.517 0.141
0.132 0.270 0.863
0.407 0.270 0.137
0.570 0.270 0.299
0.783 0.283 0.500
0.971 0.270 0.701
```

[6]
Crystalline Y2H2SI at its relaxed geometry. Source: Alexandria via LeMat-Bulk, functional PBE.

**Fermi-level density of states**: 0.283 states/eV per atom
**Size of the total moment**: 0.00 μB/cell
**Symmetry**: P-3m1 (164)
**Total energy**: -5.392 eV per atom

Geometry as POSCAR:
```
Y2H2SI
1.0
3.820 0.000 0.000
-1.910 3.308 0.000
0.000 0.000 8.591
Y H S I
2 2 1 1
Direct
0.333 0.667 0.199
0.667 0.333 0.801
0.333 0.667 0.762
0.667 0.333 0.238
0.000 0.000 0.000
0.000 0.000 0.500
```

- Look up the size of the total moment of the first one.
  0.00 μB/cell

What did the first record say?
Crystalline TeHS2I at its relaxed geometry. Source: Alexandria via LeMat-Bulk, functional PBE.

**Fermi-level density of states**: 0.049 states/eV per atom
**Size of the total moment**: 0.00 μB/cell
**Symmetry**: P2_1/m (11)
**Total energy**: -3.224 eV per atom

Geometry as POSCAR:
```
TeHS2I
1.0
7.910 0.000 0.000
0.000 4.035 0.000
-3.205 0.000 9.517
Te H S I
2 2 4 2
Direct
0.206 0.250 0.443
0.794 0.750 0.557
0.423 0.750 0.112
0.577 0.250 0.888
0.222 0.750 0.601
0.452 0.250 0.959
0.548 0.750 0.041
0.778 0.250 0.399
0.154 0.750 0.192
0.846 0.250 0.808
```